## TaMnZnB2 (GGA-PBEsol)

Data for crystalline TaMnZnB2 at its relaxed geometry.

a = 3.8294 Å, b = 3.8294 Å, c = 4.7604 Å
α = 90.00°, β = 90.00°, γ = 90.00°
Last column: nearest neighbours and their distance in Å.
Space group P4/mmm (No. 123)
Unique sites:
Ta1 0.0000 0.0000 0.0000 [1 per cell]  2 Zn 2.38
Mn1 0.5000 0.5000 0.0000 [1 per cell]  4 Ta 2.71
Zn1 0.0000 0.0000 0.5000 [1 per cell]  4 B 1.91
B1 0.0000 0.5000 0.5000 [2 per cell]  2 Zn 1.91

Summary:
E (eV per atom): -5.8925
Energy of formation (eV/f.u.): 8.46
M_tot (μB/cell): 3.5


## CsSm2Cl7 (GGA-PBEsol)

Data for crystalline CsSm2Cl7 at its relaxed geometry.

a = 13.4724 Å, b = 7.0282 Å, c = 12.7570 Å
α = 90.00°, β = 90.00°, γ = 90.00°
Last column: nearest neighbours and their distance in Å.
Space group Pnma (No. 62)
Unique sites:
Cs1 0.0398 0.2500 0.1988 [4 per cell]  10 Cl 3.55-3.67
Sm1 0.2375 0.2500 0.5440 [4 per cell]  7 Cl 2.73-2.80
Sm2 0.2466 0.2500 0.8491 [4 per cell]  7 Cl 2.72-2.77
Cl1 0.1102 0.7500 0.1935 [4 per cell]  2 Sm 2.77-2.80
Cl2 0.1230 0.0092 0.4272 [8 per cell]  2 Sm 2.72-2.73
Cl3 0.1302 0.0088 0.9653 [8 per cell]  2 Sm 2.74
Cl4 0.1767 0.0064 0.6980 [8 per cell]  2 Sm 2.73-2.74

Summary:
Raw formation energy (kcal/mol of atoms): -52.55
E (eV per atom): -4.7972
M_tot (μB/cell): 0.0


## ReTcC2 (GGA-PBEsol)

Data for crystalline ReTcC2 at its relaxed geometry.

a = 4.5829 Å, b = 4.5829 Å, c = 9.1941 Å
α = 90.00°, β = 90.00°, γ = 90.00°
Last column: nearest neighbours and their distance in Å.
Space group I-42d (No. 122)
Unique sites:
Re1 0.0000 0.0000 0.0000 [4 per cell]  4 C 1.99
Tc1 0.0000 0.0000 0.5000 [4 per cell]  4 C 1.99
C1 0.2494 0.2500 0.1250 [8 per cell]  2 Re 1.99, 2 Tc 1.99

Summary:
E (eV per atom): -10.3294
Energy of formation (eV/f.u.): 2.57
M_tot (μB/cell): 2.5


## AsBr2Cl (GGA-PBEsol)

Data for crystalline AsBr2Cl at its relaxed geometry.

a = 6.9528 Å, b = 6.9528 Å, c = 6.9528 Å
α = 90.00°, β = 90.00°, γ = 90.00°
Last column: nearest neighbours and their distance in Å.
Space group F-43m (No. 216)
Unique sites:
As1 0.0000 0.0000 0.0000 [4 per cell]  4 Cl 3.01, 4 Br 3.01
Br1 0.0000 0.0000 0.5000 [4 per cell]  4 Br 3.01, 4 Cl 3.01
Br2 0.2500 0.2500 0.7500 [4 per cell]  4 As 3.01, 4 Br 3.01
Cl1 0.2500 0.2500 0.2500 [4 per cell]  4 As 3.01, 4 Br 3.01

Summary:
Polymorph energy (0 for the lowest one) (meV/atom): 783
Raw formation energy (kcal/mol of atoms): 7.83
E (eV per atom): -2.3738
M_tot (μB/cell): 0.0


## TiSi3N (GGA-PBEsol)

Data for crystalline TiSi3N at its relaxed geometry.

a = 3.9617 Å, b = 3.9617 Å, c = 3.9617 Å
α = 90.00°, β = 90.00°, γ = 90.00°
Last column: nearest neighbours and their distance in Å.
Space group Pm-3m (No. 221)
Unique sites:
Ti1 0.0000 0.0000 0.0000 [1 per cell]  12 Si 2.80
Si1 0.0000 0.5000 0.5000 [3 per cell]  2 N 1.98
N1 0.5000 0.5000 0.5000 [1 per cell]  6 Si 1.98

Summary:
Raw formation energy (kcal/mol of atoms): 2.89
E (eV per atom): -6.6926
M_tot (μB/cell): 0.0


## Zr2FeSb (GGA-PBEsol)

Data for crystalline Zr2FeSb at its relaxed geometry.

a = 3.5945 Å, b = 3.5945 Å, c = 5.9963 Å
α = 90.00°, β = 90.00°, γ = 90.00°
Last column: nearest neighbours and their distance in Å.
Space group P4mm (No. 99)
Unique sites:
Zr1 0.0000 0.0000 0.0000 [1 per cell]  4 Sb 2.92, 2 Fe 2.93-3.07, 4 Zr 3.05
Zr2 0.5000 0.5000 0.2821 [1 per cell]  2 Sb 2.86-3.13, 4 Fe 2.89, 4 Zr 3.05
Fe1 0.0000 0.0000 0.5115 [1 per cell]  6 Zr 2.89-3.07, 4 Sb 2.94
Sb1 0.5000 0.5000 0.7595 [1 per cell]  6 Zr 2.86-3.13, 4 Fe 2.94

Summary:
Raw formation energy (kcal/mol of atoms): -3.77
E (eV per atom): -8.0887
M_tot (μB/cell): 2.1


## Mg3GeH (GGA-PBEsol)

Data for crystalline Mg3GeH at its relaxed geometry.

a = 4.2944 Å, b = 4.2944 Å, c = 4.2944 Å
α = 90.00°, β = 90.00°, γ = 90.00°
Last column: nearest neighbours and their distance in Å.
Space group Pm-3m (No. 221)
Unique sites:
Mg1 0.0000 0.0000 0.5000 [3 per cell]  2 H 2.15
Ge1 0.5000 0.5000 0.5000 [1 per cell]  12 Mg 3.04
H1 0.0000 0.0000 0.0000 [1 per cell]  6 Mg 2.15

Summary:
E (eV per atom): -2.7494
M_tot (μB/cell): 0.0


## CaScTe (GGA-PBEsol)

Data for crystalline CaScTe at its relaxed geometry.

a = 6.9676 Å, b = 6.9676 Å, c = 6.9676 Å
α = 90.00°, β = 90.00°, γ = 90.00°
Last column: nearest neighbours and their distance in Å.
Space group F-43m (No. 216)
Unique sites:
Ca1 0.0000 0.0000 0.0000 [4 per cell]  4 Te 3.02
Sc1 0.0000 0.0000 0.5000 [4 per cell]  4 Te 3.02
Te1 0.2500 0.2500 0.2500 [4 per cell]  4 Ca 3.02, 4 Sc 3.02

Summary:
Raw formation energy (kcal/mol of atoms): -11.49
E (eV per atom): -4.5865
M_tot (μB/cell): 5.7


## CuIr3 (GGA-PBEsol)

Data for crystalline CuIr3 at its relaxed geometry.

a = 2.7005 Å, b = 3.7525 Å, c = 5.3242 Å
α = 90.00°, β = 90.00°, γ = 90.00°
Last column: nearest neighbours and their distance in Å.
Space group Pmmm (No. 47)
Unique sites:
Cu1 0.0000 0.0000 0.0000 [1 per cell]  10 Ir 2.66, 2 Cu 2.70
Ir1 0.0000 0.0000 0.5000 [1 per cell]  2 Cu 2.66, 10 Ir 2.68-2.70
Ir2 0.5000 0.5000 0.2463 [2 per cell]  8 Ir 2.62-2.70, 4 Cu 2.66

Summary:
E (eV per atom): -8.3577
Energy of formation (eV/f.u.): 0.37
M_tot (μB/cell): 0.0


## CoBi2As (GGA-PBEsol)

Data for crystalline CoBi2As at its relaxed geometry.

a = 6.1192 Å, b = 6.1192 Å, c = 11.9894 Å
α = 90.00°, β = 90.00°, γ = 90.00°
Last column: nearest neighbours and their distance in Å.
Space group I-42d (No. 122)
Unique sites:
Co1 0.0000 0.0000 0.0000 [4 per cell]  4 Bi 2.47
Bi1 0.2010 0.2500 0.1250 [8 per cell]  2 Co 2.47
As1 0.0000 0.0000 0.5000 [4 per cell]  4 Bi 2.82

Summary:
E (eV per atom): -4.9276
Energy of formation (eV/f.u.): 1.70
M_tot (μB/cell): 0.0


## PAuO2 (GGA-PBEsol)

Data for crystalline PAuO2 at its relaxed geometry.

a = 7.6161 Å, b = 7.6161 Å, c = 7.6161 Å
α = 90.00°, β = 90.00°, γ = 90.00°
Last column: nearest neighbours and their distance in Å.
Space group Fd-3m (No. 227, origin choice 2)
Unique sites:
P1 0.1250 0.1250 0.1250 [8 per cell]  4 O 1.65
Au1 0.1250 0.1250 0.6250 [8 per cell]  12 O 3.16, 4 P 3.30, 4 Au 3.30
O1 0.0000 0.0000 0.0000 [16 per cell]  2 P 1.65

Summary:
Raw formation energy (kcal/mol of atoms): -8.20
E (eV per atom): -5.4090
M_tot (μB/cell): 0.0


## EuGaCu (GGA-PBEsol)

Data for crystalline EuGaCu at its relaxed geometry.

a = 10.0132 Å, b = 4.4119 Å, c = 7.2325 Å
α = 90.00°, β = 132.70°, γ = 90.00°
Last column: nearest neighbours and their distance in Å.
Space group C2/m (No. 12)
Unique sites:
Eu1 0.0578 0.0000 0.3108 [4 per cell]  6 Cu 2.99-3.30, 6 Ga 3.05-3.29
Ga1 0.1707 0.5000 0.0994 [4 per cell]  3 Cu 2.54-2.64, 1 Ga 2.66
Cu1 0.1603 0.5000 0.7252 [4 per cell]  3 Ga 2.54-2.64, 1 Cu 2.60

Summary:
E (eV per atom): -6.4557
Energy of formation (eV/f.u.): -1.13
M_tot (μB/cell): 28.1


Question: Which of these has the highest E?
Answer: AsBr2Cl